This record from Alexandria describes a geometry-optimized LiY2Tl4 structure. The functional is PBE-GGA.

Cell lengths 5.1564, 5.1564, 7.3523 Å; angles 90.00, 90.00, 90.00 degrees
Positions (direct):
Tl: 0.0000 0.5000 0.2524
Tl: 0.0000 0.5000 0.7476
Tl: 0.5000 0.0000 0.2524
Tl: 0.5000 0.0000 0.7476
Y: 0.0000 0.0000 0.0000
Y: 0.5000 0.5000 0.5000
Li: 0.5000 0.5000 0.0000

Calculated values
Formation enthalpy at 0 K, meV per atom: -196
SG: P4/mmm, No. 123
Magnetic moment, μB/atom: 0.00